Entry 1:
SmHo3In2: optimized geometry, PBE.

Calculated values
The total energy comes out at -4.27 eV per atom. The offset from the most stable computed form is 0.00 eV/f.u. The formation energy is -279 meV/atom. The volume comes out at 29.0 Å³ per atom.

abc: 8.941 3.519 22.109
angles: 90.00 90.00 90.00
Space group Pnma (No. 62)
One atom of each set of equivalent atoms:
Sm (0.160, 0.250, 0.161) (multiplicity 4)
Ho (0.039, 0.250, 0.423) (multiplicity 4)
Ho (0.109, 0.250, 0.937) (multiplicity 4)
Ho (0.212, 0.750, 0.803) (multiplicity 4)
In (0.020, 0.250, 0.709) (multiplicity 4)
In (0.248, 0.250, 0.542) (multiplicity 4)

=====

Entry 2:
Sm4HoIn4: optimized geometry, PBE.

Calculated values
The total energy comes out at -3.94 eV per atom. The formation energy is -113 meV/atom. The volume comes out at 31.1 Å³ per atom.

abc: 7.179 7.179 10.860
angles: 90.00 90.00 90.00
Space group P4_2/nmc (No. 137, origin choice 2)
One atom of each set of equivalent atoms:
Sm (0.027, 0.250, 0.175) (multiplicity 8)
Ho (0.250, 0.750, 0.250) (multiplicity 2)
In (0.014, 0.250, 0.477) (multiplicity 8)

=====

Entry 3:
Sm2Ho3In: optimized geometry, PBE.

Calculated values
The total energy comes out at -4.06 eV per atom. The offset from the most stable computed form is 2.48 eV/f.u. The formation energy is 261 meV/atom. The volume comes out at 32.6 Å³ per atom.

abc: 3.383 9.958 11.595
angles: 90.00 90.00 90.00
Space group Imm2 (No. 44)
One atom of each set of equivalent atoms:
Sm (0.000, 0.172, 0.000) (multiplicity 4)
Ho (0.000, 0.000, 0.281) (multiplicity 2)
Ho (0.000, 0.339, 0.248) (multiplicity 4)
In (0.000, 0.500, 0.015) (multiplicity 2)

=====

Entry 4:
Sm3Ho12In: optimized geometry, PBE.

Calculated values
The total energy comes out at -4.53 eV per atom. The formation energy is -42 meV/atom. The volume comes out at 30.8 Å³ per atom.

abc: 4.953 4.953 20.087
angles: 90.00 90.00 90.00
Space group P4/mmm (No. 123)
One atom of each set of equivalent atoms:
Sm (0.000, 0.000, 0.000) (multiplicity 1)
Sm (0.000, 0.000, 0.252) (multiplicity 2)
Ho (0.000, 0.500, 0.127) (multiplicity 4)
Ho (0.000, 0.500, 0.380) (multiplicity 4)
Ho (0.500, 0.500, 0.000) (multiplicity 1)
Ho (0.500, 0.500, 0.256) (multiplicity 2)
Ho (0.500, 0.500, 0.500) (multiplicity 1)
In (0.000, 0.000, 0.500) (multiplicity 1)

=====

For the records above, the corresponding Fermi-level density of states values read 1.1041; 0.6737; 1.6117; 1.2064 states/eV/atom.